Ta2FeSb: relaxed, GGA-PBE.

a = 7.113 Å, b = 7.113 Å, c = 7.113 Å
α = 29.27°, β = 29.27°, γ = 29.27°
Fractional positions:
Ta (0.228, 0.228, 0.228)
Ta (0.772, 0.772, 0.772)
Fe (0.500, 0.500, 0.500)
Sb (0.000, 0.000, 0.000)

Values from the calculation:
Raw formation energy = 0.246 eV per atom
Magnetization = 0.00 μB per formula unit
SG = R-3m (166)
Density of states at the Fermi level = 0.825 states/eV/atom
Crystal system = trigonal
Energy = -8.83 eV/atom